1.
# Y4Er3In4 PBE-GGA optimized geometry
data_Y4Er3In4
_symmetry_space_group_name_H-M 'I m m m'
_symmetry_Int_Tables_number 71
_symmetry_space_group_name_Hall '-I 2 2'
_cell_length_a 3.615
_cell_length_b 9.465
_cell_length_c 18.701
_cell_angle_alpha 90.00
_cell_angle_beta 90.00
_cell_angle_gamma 90.00
loop_
_atom_site_label
_atom_site_fract_x
_atom_site_fract_y
_atom_site_fract_z
Y1 0.000 0.188 0.163
Er1 0.000 0.000 0.404
Er2 0.000 0.500 0.500
In1 0.000 0.281 0.000
In2 0.000 0.500 0.231
# - total magnetization (μB per formula unit) = 0.02
# - energy of formation from the pure elements (meV/atom) = -309
# - crystal system = orthorhombic

2.
# Y2ErIn PBE-GGA optimized geometry
data_Y2ErIn
_symmetry_space_group_name_H-M 'F -4 3 m'
_symmetry_Int_Tables_number 216
_symmetry_space_group_name_Hall 'F -4 2 3'
_cell_length_a 7.705
_cell_length_b 7.705
_cell_length_c 7.705
_cell_angle_alpha 90.00
_cell_angle_beta 90.00
_cell_angle_gamma 90.00
loop_
_atom_site_label
_atom_site_fract_x
_atom_site_fract_y
_atom_site_fract_z
Y1 0.000 0.000 0.000
Y2 0.250 0.250 0.250
Er1 0.250 0.250 0.750
In1 0.000 0.000 0.500
# - total magnetization (μB per formula unit) = 1.20
# - energy relative to the lowest polymorph listed for this composition (meV/atom) = 156
# - energy of formation from the pure elements (meV/atom) = -114
# - crystal system = cubic

3.
# YEr2In PBE-GGA optimized geometry
data_YEr2In
_symmetry_space_group_name_H-M 'A m m 2'
_symmetry_Int_Tables_number 38
_symmetry_space_group_name_Hall 'A 2 -2'
_cell_length_a 5.543
_cell_length_b 6.866
_cell_length_c 11.844
_cell_angle_alpha 90.00
_cell_angle_beta 90.00
_cell_angle_gamma 90.00
loop_
_atom_site_label
_atom_site_fract_x
_atom_site_fract_y
_atom_site_fract_z
Y1 0.000 0.244 0.000
Er1 0.000 0.000 0.756
Er2 0.500 0.000 0.416
Er3 0.500 0.244 0.172
In1 0.000 0.000 0.253
In2 0.500 0.000 0.919
# - total magnetization (μB per formula unit) = 0.71
# - energy relative to the lowest polymorph listed for this composition (meV/atom) = 10
# - energy of formation from the pure elements (meV/atom) = -255
# - crystal system = orthorhombic

4.
# Y2ErIn PBE-GGA optimized geometry
data_Y2ErIn
_symmetry_space_group_name_H-M 'F m -3 m'
_symmetry_Int_Tables_number 225
_symmetry_space_group_name_Hall '-F 4 2 3'
_cell_length_a 7.703
_cell_length_b 7.703
_cell_length_c 7.703
_cell_angle_alpha 90.00
_cell_angle_beta 90.00
_cell_angle_gamma 90.00
loop_
_atom_site_label
_atom_site_fract_x
_atom_site_fract_y
_atom_site_fract_z
Y1 0.250 0.250 0.250
Er1 0.000 0.000 0.000
In1 0.000 0.000 0.500
# - total magnetization (μB per formula unit) = 1.14
# - energy relative to the lowest polymorph listed for this composition (meV/atom) = 123
# - energy of formation from the pure elements (meV/atom) = -147
# - crystal system = cubic

5.
# YErIn4 PBE-GGA optimized geometry
data_YErIn4
_symmetry_space_group_name_H-M 'F -4 3 m'
_symmetry_Int_Tables_number 216
_symmetry_space_group_name_Hall 'F -4 2 3'
_cell_length_a 8.464
_cell_length_b 8.464
_cell_length_c 8.464
_cell_angle_alpha 90.00
_cell_angle_beta 90.00
_cell_angle_gamma 90.00
loop_
_atom_site_label
_atom_site_fract_x
_atom_site_fract_y
_atom_site_fract_z
Y1 0.000 0.000 0.000
Er1 0.250 0.250 0.750
In1 0.125 0.125 0.375
# - total magnetization (μB per formula unit) = 0.00
# - energy of formation from the pure elements (meV/atom) = -317
# - crystal system = cubic

6.
# Y4Er3In PBE-GGA optimized geometry
data_Y4Er3In
_symmetry_space_group_name_H-M 'P m m n'
_symmetry_Int_Tables_number 59
_cell_length_a 5.306
_cell_length_b 10.832
_cell_length_c 8.509
_cell_angle_alpha 90.00
_cell_angle_beta 90.00
_cell_angle_gamma 90.00
loop_
_symmetry_equiv_pos_as_xyz
'x,y,z'
'-x,-y,-z'
'-x+1/2,-y+1/2,z'
'x+1/2,y+1/2,-z'
'x+1/2,-y,-z'
'-x+1/2,y,z'
'-x,y+1/2,-z'
'x,-y+1/2,z'
loop_
_atom_site_label
_atom_site_fract_x
_atom_site_fract_y
_atom_site_fract_z
Y1 0.250 0.001 0.142
Y2 0.250 0.250 0.846
Y3 0.250 0.750 0.880
Er1 0.250 0.250 0.402
Er2 0.250 0.530 0.604
In1 0.250 0.750 0.361
# - total magnetization (μB per formula unit) = 0.25
# - energy of formation from the pure elements (meV/atom) = -93
# - crystal system = orthorhombic

7.
# YEr2In PBE-GGA optimized geometry
data_YEr2In
_symmetry_space_group_name_H-M 'P 1 21/m 1'
_symmetry_Int_Tables_number 11
_symmetry_space_group_name_Hall '-P 2yb'
_cell_length_a 3.728
_cell_length_b 5.226
_cell_length_c 12.149
_cell_angle_alpha 90.00
_cell_angle_beta 98.81
_cell_angle_gamma 90.00
loop_
_atom_site_label
_atom_site_fract_x
_atom_site_fract_y
_atom_site_fract_z
Y1 0.207 0.250 0.414
Er1 0.044 0.750 0.088
Er2 0.420 0.750 0.839
In1 0.339 0.250 0.678
# - total magnetization (μB per formula unit) = 0.44
# - energy relative to the lowest polymorph listed for this composition (meV/atom) = 30
# - energy of formation from the pure elements (meV/atom) = -235
# - crystal system = monoclinic

8.
# Y4ErIn3 PBE-GGA optimized geometry
data_Y4ErIn3
_symmetry_space_group_name_H-M 'R -3 m'
_symmetry_Int_Tables_number 166
_symmetry_space_group_name_Hall '-R 3 2"'
_cell_length_a 5.3629
_cell_length_b 5.3629
_cell_length_c 27.0893
_cell_angle_alpha 90.00
_cell_angle_beta 90.00
_cell_angle_gamma 120.00
loop_
_atom_site_label
_atom_site_fract_x
_atom_site_fract_y
_atom_site_fract_z
Y1 0.0000 0.0000 0.1150
Y2 0.0000 0.0000 0.3706
Er1 0.0000 0.0000 0.5000
In1 0.0000 0.0000 0.0000
In2 0.0000 0.0000 0.2369
# - total magnetization (μB per formula unit) = 1.32
# - energy of formation from the pure elements (meV/atom) = -350
# - crystal system = trigonal

9.
# Y2ErIn PBE-GGA optimized geometry
data_Y2ErIn
_symmetry_space_group_name_H-M 'P 4/m m m'
_symmetry_Int_Tables_number 123
_symmetry_space_group_name_Hall '-P 4 2'
_cell_length_a 4.853
_cell_length_b 4.853
_cell_length_c 4.823
_cell_angle_alpha 90.00
_cell_angle_beta 90.00
_cell_angle_gamma 90.00
loop_
_atom_site_label
_atom_site_fract_x
_atom_site_fract_y
_atom_site_fract_z
Y1 0.000 0.500 0.000
Er1 0.000 0.000 0.500
In1 0.500 0.500 0.500
# - total magnetization (μB per formula unit) = 0.43
# - energy relative to the lowest polymorph listed for this composition (meV/atom) = 0
# - energy of formation from the pure elements (meV/atom) = -270
# - crystal system = tetragonal

10.
# YEr2In PBE-GGA optimized geometry
data_YEr2In
_symmetry_space_group_name_H-M 'F m -3 m'
_symmetry_Int_Tables_number 225
_symmetry_space_group_name_Hall '-F 4 2 3'
_cell_length_a 7.673
_cell_length_b 7.673
_cell_length_c 7.673
_cell_angle_alpha 90.00
_cell_angle_beta 90.00
_cell_angle_gamma 90.00
loop_
_atom_site_label
_atom_site_fract_x
_atom_site_fract_y
_atom_site_fract_z
Y1 0.000 0.000 0.000
Er1 0.250 0.250 0.250
In1 0.000 0.000 0.500
# - total magnetization (μB per formula unit) = 0.98
# - energy relative to the lowest polymorph listed for this composition (meV/atom) = 168
# - energy of formation from the pure elements (meV/atom) = -97
# - crystal system = cubic

11.
# Y3Er4In2 PBE-GGA optimized geometry
data_Y3Er4In2
_symmetry_space_group_name_H-M 'C 1 2/m 1'
_symmetry_Int_Tables_number 12
_symmetry_space_group_name_Hall '-C 2y'
_cell_length_a 12.540
_cell_length_b 5.259
_cell_length_c 8.344
_cell_angle_alpha 90.00
_cell_angle_beta 105.35
_cell_angle_gamma 90.00
loop_
_atom_site_label
_atom_site_fract_x
_atom_site_fract_y
_atom_site_fract_z
Y1 0.000 0.000 0.000
Y2 0.076 0.500 0.345
Er1 0.123 0.000 0.658
Er2 0.170 0.500 0.965
In1 0.213 0.000 0.317
# - total magnetization (μB per formula unit) = 0.00
# - energy of formation from the pure elements (meV/atom) = -211
# - crystal system = monoclinic

12.
# YEr6In6 PBE-GGA optimized geometry
data_YEr6In6
_symmetry_space_group_name_H-M 'P 6/m m m'
_symmetry_Int_Tables_number 191
_symmetry_space_group_name_Hall '-P 6 2'
_cell_length_a 6.2227
_cell_length_b 6.2227
_cell_length_c 10.6603
_cell_angle_alpha 90.00
_cell_angle_beta 90.00
_cell_angle_gamma 120.00
loop_
_atom_site_label
_atom_site_fract_x
_atom_site_fract_y
_atom_site_fract_z
Y1 0.0000 0.0000 0.0000
Er1 0.0000 0.0000 0.3404
Er2 0.3333 0.6667 0.0000
Er3 0.3333 0.6667 0.5000
In1 0.0000 0.5000 0.2457
# - total magnetization (μB per formula unit) = 0.02
# - energy of formation from the pure elements (meV/atom) = -304
# - crystal system = hexagonal

> Number 8 is which compound?

Y4ErIn3

> Which value of total magnetization does entry 9 give?

0.43 μB per formula unit